P) The following is a DFT calculation (PBE) of a geometry-optimized HfScZn structure.

ρ: 7.886 g/cm3

a b c (Å): 8.755 8.755 4.426
angles (deg): 90.00 90.00 158.99
Fractional coordinates of all 6 atoms:
Hf  0.211  0.789  0.750
Hf  0.789  0.211  0.250
Sc  0.394  0.606  0.750
Sc  0.606  0.394  0.250
Zn  0.042  0.958  0.750
Zn  0.958  0.042  0.250

=====

Q) The following is a DFT calculation (PBE) of a geometry-optimized HfScZn structure.

ρ: 7.864 g/cm3

a b c (Å): 4.727 4.727 3.153
angles (deg): 90.00 90.00 120.00
Fractional coordinates of all 3 atoms:
Hf  0.000  0.000  0.000
Sc  0.667  0.333  0.460
Zn  0.333  0.667  0.771

=====

R) The following is a DFT calculation (PBE) of a geometry-optimized HfScZn structure.

ρ: 7.139 g/cm3

a b c (Å): 4.551 4.551 6.489
angles (deg): 90.00 90.00 90.00
Fractional coordinates of all 6 atoms:
Hf  0.250  0.750  0.000
Hf  0.750  0.250  0.000
Sc  0.250  0.750  0.500
Sc  0.750  0.250  0.500
Zn  0.250  0.250  0.245
Zn  0.750  0.750  0.755

=====

Pick P): it beats the second-best structure by 0.214 eV/atom.